No. 1
Material: Y2ThRu2
Method: DFT, GGA-PBE
State: relaxed

POSCAR file:
```
Y2ThRu2
1.0
10.224 0.000 0.000
0.000 6.735 0.000
-0.558 0.000 7.141
Y Th Ru
8 4 8
direct
0.018 0.240 0.429 Y
0.018 0.260 0.929 Y
0.290 0.676 0.888 Y
0.290 0.824 0.388 Y
0.710 0.176 0.612 Y
0.710 0.324 0.112 Y
0.982 0.740 0.071 Y
0.982 0.760 0.571 Y
0.363 0.184 0.004 Th
0.363 0.316 0.504 Th
0.637 0.684 0.496 Th
0.637 0.816 0.996 Th
0.184 0.031 0.711 Ru
0.184 0.469 0.211 Ru
0.484 0.548 0.213 Ru
0.484 0.952 0.713 Ru
0.516 0.048 0.287 Ru
0.516 0.452 0.787 Ru
0.816 0.531 0.789 Ru
0.816 0.969 0.289 Ru
```

E_form ... -0.37 eV per atom
Density ... 8266 kg/m³
V ... 24.59 A^3/atom
E above lowest polymorph ... 0.0104 eV per atom

No. 2
Material: K2ZrCo
Method: DFT, GGA-PBE
State: relaxed

POSCAR file:
```
K2ZrCo
1.0
10.827 -1.712 0.000
10.827 1.712 0.000
-0.629 0.000 3.656
K Zr Co
2 1 1
direct
0.153 0.153 0.151 K
0.847 0.847 0.849 K
0.000 0.000 0.500 Zr
0.500 0.500 0.000 Co
```

E_form ... 0.43 eV per atom
Density ... 2798 kg/m³
V ... 33.88 A^3/atom
E above lowest polymorph ... 0.0280 eV per atom

No. 3
Material: NaAlBiMo2
Method: DFT, GGA-PBE
State: relaxed

POSCAR file:
```
NaAlBiMo2
1.0
4.868 0.000 0.000
0.000 4.868 0.000
0.000 0.000 4.982
Na Al Bi Mo
1 1 1 2
direct
0.000 0.000 0.000 Na
0.000 0.000 0.500 Al
0.500 0.500 0.000 Bi
0.000 0.500 0.500 Mo
0.500 0.000 0.500 Mo
```

E_form ... 1.18 eV per atom
Density ... 6341 kg/m³
V ... 23.61 A^3/atom